# KTl3 GGA-PBE optimized geometry
data_KTl3
_chemical_formula_sum 'K1 Tl3'
_symmetry_space_group_name_H-M 'P 1 2/m 1'
_symmetry_Int_Tables_number 10
_cell_length_a 3.5140
_cell_length_b 5.1100
_cell_length_c 7.6699
_cell_angle_alpha 90.00
_cell_angle_beta 102.18
_cell_angle_gamma 90.00
loop_
_symmetry_equiv_pos_as_xyz
'x,y,z'
'-x,-y,-z'
'-x,y,-z'
'x,-y,z'
loop_
_atom_site_label
_atom_site_fract_x
_atom_site_fract_y
_atom_site_fract_z
_atom_site_occupancy
K1 0.0000 0.0000 0.0000 1
Tl1 0.0000 0.0000 0.5000 1
Tl2 0.4028 0.5000 0.7146 1
# * size of the total moment: 0.00 μB/f.u.
# * ΔE_f: -69 meV/atom
# * energy: -2.1179 eV/atom

# AcTmAl4 GGA-PBE optimized geometry
data_AcTmAl4
_chemical_formula_sum 'Ac4 Tm4 Al16'
_symmetry_space_group_name_H-M 'P b a m'
_symmetry_Int_Tables_number 55
_cell_length_a 8.4939
_cell_length_b 16.3133
_cell_length_c 4.4159
_cell_angle_alpha 90.00
_cell_angle_beta 90.00
_cell_angle_gamma 90.00
loop_
_symmetry_equiv_pos_as_xyz
'x,y,z'
'-x,-y,-z'
'-x,-y,z'
'x,y,-z'
'x+1/2,-y+1/2,-z'
'-x+1/2,y+1/2,z'
'-x+1/2,y+1/2,-z'
'x+1/2,-y+1/2,z'
loop_
_atom_site_label
_atom_site_fract_x
_atom_site_fract_y
_atom_site_fract_z
_atom_site_occupancy
Ac1 0.1317 0.1481 0.0000 1
Tm1 0.1286 0.4167 0.0000 1
Al1 0.0134 0.6976 0.5000 1
Al2 0.1175 0.5504 0.5000 1
Al3 0.1302 0.9659 0.5000 1
Al4 0.2081 0.8130 0.5000 1
# * size of the total moment: 0.00 μB/f.u.
# * ΔE_f: -312 meV/atom
# * energy: -4.2374 eV/atom
# * excess energy over the best structure of this formula in the dataset: 55 meV per atom

# DyHo2ErN4 GGA-PBE optimized geometry
data_DyHo2ErN4
_chemical_formula_sum 'Dy1 Ho2 Er1 N4'
_symmetry_space_group_name_H-M 'P 1 2/m 1'
_symmetry_Int_Tables_number 10
_cell_length_a 5.9752
_cell_length_b 3.4511
_cell_length_c 5.9753
_cell_angle_alpha 90.00
_cell_angle_beta 109.45
_cell_angle_gamma 90.00
loop_
_symmetry_equiv_pos_as_xyz
'x,y,z'
'-x,-y,-z'
'-x,y,-z'
'x,-y,z'
loop_
_atom_site_label
_atom_site_fract_x
_atom_site_fract_y
_atom_site_fract_z
_atom_site_occupancy
Dy1 0.0000 0.0000 0.0000 1
Ho1 0.5000 0.0000 0.5000 1
Ho2 0.5000 0.5000 0.0000 1
Er1 0.0000 0.5000 0.5000 1
N1 0.2496 0.0000 0.7486 1
N2 0.2505 0.5000 0.2514 1
# * size of the total moment: 0.00 μB/f.u.
# * formation energy (no corrections): -1.745 eV/atom
# * energy: -8.1973 eV/atom

# Li6Cu2Pt GGA-PBE optimized geometry
data_Li6Cu2Pt
_chemical_formula_sum 'Li12 Cu4 Pt2'
_symmetry_space_group_name_H-M 'P 1 21/c 1'
_symmetry_Int_Tables_number 14
_cell_length_a 5.0292
_cell_length_b 7.5859
_cell_length_c 6.7644
_cell_angle_alpha 90.00
_cell_angle_beta 98.34
_cell_angle_gamma 90.00
loop_
_symmetry_equiv_pos_as_xyz
'x,y,z'
'-x,-y,-z'
'-x,y+1/2,-z+1/2'
'x,-y+1/2,z+1/2'
loop_
_atom_site_label
_atom_site_fract_x
_atom_site_fract_y
_atom_site_fract_z
_atom_site_occupancy
Li1 0.0066 0.1598 0.4884 1
Li2 0.1826 0.0068 0.1681 1
Li3 0.3687 0.6785 0.3415 1
Cu1 0.3172 0.1500 0.8192 1
Pt1 0.5000 0.0000 0.5000 1
# * size of the total moment: 0.00 μB/f.u.
# * ΔE_f: -155 meV/atom
# * energy: -3.0120 eV/atom
# * excess energy over the best structure of this formula in the dataset: 53 meV per atom

# BHIr GGA-PBE optimized geometry
data_BHIr
_chemical_formula_sum 'B2 H2 Ir2'
_symmetry_space_group_name_H-M 'I 4 m m'
_symmetry_Int_Tables_number 107
_symmetry_space_group_name_Hall 'I 4 -2'
_cell_length_a 2.8379
_cell_length_b 2.8379
_cell_length_c 6.4020
_cell_angle_alpha 90.00
_cell_angle_beta 90.00
_cell_angle_gamma 90.00
loop_
_atom_site_label
_atom_site_fract_x
_atom_site_fract_y
_atom_site_fract_z
_atom_site_occupancy
B1 0.0000 0.0000 0.0000 1
H1 0.0000 0.0000 0.6206 1
Ir1 0.0000 0.0000 0.3553 1
# * size of the total moment: 0.00 μB/f.u.
# * energy: -5.9440 eV/atom
# * excess energy over the best structure of this formula in the dataset: 111 meV per atom

# Zr2Ge2Pb GGA-PBE optimized geometry
data_Zr2Ge2Pb
_chemical_formula_sum 'Zr4 Ge4 Pb2'
_symmetry_space_group_name_H-M 'P 4/m b m'
_symmetry_Int_Tables_number 127
_symmetry_space_group_name_Hall '-P 4 2ab'
_cell_length_a 7.6739
_cell_length_b 7.6739
_cell_length_c 3.6856
_cell_angle_alpha 90.00
_cell_angle_beta 90.00
_cell_angle_gamma 90.00
loop_
_atom_site_label
_atom_site_fract_x
_atom_site_fract_y
_atom_site_fract_z
_atom_site_occupancy
Zr1 0.1465 0.3535 0.0000 1
Ge1 0.1539 0.6539 0.5000 1
Pb1 0.0000 0.0000 0.0000 1
# * size of the total moment: 0.00 μB/f.u.
# * ΔE_f: -292 meV/atom
# * energy: -6.2997 eV/atom
# * excess energy over the best structure of this formula in the dataset: 37 meV per atom

# GeHPd5 GGA-PBE optimized geometry
data_GeHPd5
_chemical_formula_sum 'Ge4 H4 Pd20'
_symmetry_space_group_name_H-M 'C 1 2/c 1'
_symmetry_Int_Tables_number 15
_cell_length_a 9.8432
_cell_length_b 6.8250
_cell_length_c 7.6157
_cell_angle_alpha 90.00
_cell_angle_beta 122.38
_cell_angle_gamma 90.00
loop_
_symmetry_equiv_pos_as_xyz
'x,y,z'
'-x,-y,-z'
'-x,y,-z+1/2'
'x,-y,z+1/2'
'x+1/2,y+1/2,z'
'-x+1/2,-y+1/2,-z'
'-x+1/2,y+1/2,-z+1/2'
'x+1/2,-y+1/2,z+1/2'
loop_
_atom_site_label
_atom_site_fract_x
_atom_site_fract_y
_atom_site_fract_z
_atom_site_occupancy
Ge1 0.0000 0.1004 0.2500 1
H1 0.0000 0.5000 0.0000 1
Pd1 0.0000 0.4528 0.2500 1
Pd2 0.0290 0.1990 0.9568 1
Pd3 0.2381 0.4954 0.6672 1
# * size of the total moment: 0.00 μB/f.u.
# * energy: -4.9305 eV/atom

# NaMgScMn2 GGA-PBE optimized geometry
data_NaMgScMn2
_chemical_formula_sum 'Na1 Mg1 Sc1 Mn2'
_symmetry_space_group_name_H-M 'P 4/m m m'
_symmetry_Int_Tables_number 123
_symmetry_space_group_name_Hall '-P 4 2'
_cell_length_a 4.8479
_cell_length_b 4.8479
_cell_length_c 4.8306
_cell_angle_alpha 90.00
_cell_angle_beta 90.00
_cell_angle_gamma 90.00
loop_
_atom_site_label
_atom_site_fract_x
_atom_site_fract_y
_atom_site_fract_z
_atom_site_occupancy
Na1 0.0000 0.0000 0.0000 1
Mg1 0.0000 0.0000 0.5000 1
Sc1 0.5000 0.5000 0.5000 1
Mn1 0.0000 0.5000 0.0000 1
# * size of the total moment: 7.28 μB/f.u.
# * ΔE_f: 1174 meV/atom
# * energy: -4.3428 eV/atom

# BaU2Cu2S6 GGA-PBE optimized geometry
data_BaU2Cu2S6
_chemical_formula_sum 'Ba1 U2 Cu2 S6'
_symmetry_space_group_name_H-M 'P -1'
_symmetry_Int_Tables_number 2
_cell_length_a 7.2008
_cell_length_b 7.3652
_cell_length_c 7.4018
_cell_angle_alpha 90.98
_cell_angle_beta 118.46
_cell_angle_gamma 118.93
loop_
_symmetry_equiv_pos_as_xyz
'x,y,z'
'-x,-y,-z'
loop_
_atom_site_label
_atom_site_fract_x
_atom_site_fract_y
_atom_site_fract_z
_atom_site_occupancy
Ba1 0.0000 0.0000 0.0000 1
U1 0.3442 0.6704 0.0161 1
Cu1 0.1354 0.6811 0.4316 1
S1 0.1454 0.4497 0.2385 1
S2 0.2122 0.3067 0.7617 1
S3 0.4591 0.9146 0.7629 1
# * size of the total moment: 4.00 μB/f.u.
# * formation energy (no corrections): -1.164 eV/atom
# * energy: -6.3877 eV/atom

# Dy6Ho2Tm3Pu GGA-PBE optimized geometry
data_Dy6Ho2Tm3Pu
_chemical_formula_sum 'Dy12 Ho4 Tm6 Pu2'
_symmetry_space_group_name_H-M 'C 1 2/m 1'
_symmetry_Int_Tables_number 12
_cell_length_a 6.0874
_cell_length_b 10.5456
_cell_length_c 11.6046
_cell_angle_alpha 90.00
_cell_angle_beta 100.08
_cell_angle_gamma 90.00
loop_
_symmetry_equiv_pos_as_xyz
'x,y,z'
'-x,-y,-z'
'-x,y,-z'
'x,-y,z'
'x+1/2,y+1/2,z'
'-x+1/2,-y+1/2,-z'
'-x+1/2,y+1/2,-z'
'x+1/2,-y+1/2,z'
loop_
_atom_site_label
_atom_site_fract_x
_atom_site_fract_y
_atom_site_fract_z
_atom_site_occupancy
Dy1 0.2471 0.0000 0.2505 1
Dy2 0.2479 0.1650 0.7494 1
Ho1 0.0000 0.3334 0.5000 1
Tm1 0.0000 0.1672 0.0000 1
Tm2 0.0000 0.5000 0.0000 1
Pu1 0.0000 0.0000 0.5000 1
# * size of the total moment: 6.59 μB/f.u.
# * ΔE_f: 44 meV/atom
# * energy: -5.3324 eV/atom

# Nb6TlS8 GGA-PBE optimized geometry
data_Nb6TlS8
_chemical_formula_sum 'Nb6 Tl1 S8'
_symmetry_space_group_name_H-M 'P -6'
_symmetry_Int_Tables_number 174
_cell_length_a 9.7511
_cell_length_b 9.7511
_cell_length_c 3.3949
_cell_angle_alpha 90.00
_cell_angle_beta 90.00
_cell_angle_gamma 120.00
loop_
_symmetry_equiv_pos_as_xyz
'x,y,z'
'-x+y,-x,-z'
'-y,x-y,z'
'x,y,-z'
'-x+y,-x,z'
'-y,x-y,-z'
loop_
_atom_site_label
_atom_site_fract_x
_atom_site_fract_y
_atom_site_fract_z
_atom_site_occupancy
Nb1 0.0398 0.2219 0.0000 1
Nb2 0.1544 0.7098 0.5000 1
Tl1 0.6667 0.3333 0.0000 1
S1 0.0000 0.0000 0.5000 1
S2 0.0110 0.3917 0.5000 1
S3 0.3183 0.2754 0.0000 1
S4 0.3333 0.6667 0.0000 1
# * size of the total moment: 0.23 μB/f.u.
# * formation energy (no corrections): -1.044 eV/atom
# * energy: -7.4314 eV/atom
# * excess energy over the best structure of this formula in the dataset: 0 meV per atom

# ScCu2Pb GGA-PBE optimized geometry
data_ScCu2Pb
_chemical_formula_sum 'Sc3 Cu6 Pb3'
_symmetry_space_group_name_H-M 'R 3 m'
_symmetry_Int_Tables_number 160
_symmetry_space_group_name_Hall 'R 3 -2"'
_cell_length_a 4.2230
_cell_length_b 4.2230
_cell_length_c 15.0834
_cell_angle_alpha 90.00
_cell_angle_beta 90.00
_cell_angle_gamma 120.00
loop_
_atom_site_label
_atom_site_fract_x
_atom_site_fract_y
_atom_site_fract_z
_atom_site_occupancy
Sc1 0.0000 0.0000 0.0000 1
Cu1 0.0000 0.0000 0.2259 1
Cu2 0.0000 0.0000 0.5647 1
Pb1 0.0000 0.0000 0.7939 1
# * size of the total moment: 0.00 μB/f.u.
# * ΔE_f: -52 meV/atom
# * energy: -4.6102 eV/atom

# KLaCdCl6 GGA-PBE optimized geometry
data_KLaCdCl6
_chemical_formula_sum 'K2 La2 Cd2 Cl12'
_symmetry_space_group_name_H-M 'P -3 1 c'
_symmetry_Int_Tables_number 163
_symmetry_space_group_name_Hall '-P 3 2c'
_cell_length_a 7.1239
_cell_length_b 7.1239
_cell_length_c 13.7391
_cell_angle_alpha 90.00
_cell_angle_beta 90.00
_cell_angle_gamma 120.00
loop_
_atom_site_label
_atom_site_fract_x
_atom_site_fract_y
_atom_site_fract_z
_atom_site_occupancy
K1 0.0000 0.0000 0.0000 1
La1 0.3333 0.6667 0.2500 1
Cd1 0.3333 0.6667 0.7500 1
Cl1 0.0138 0.3738 0.6377 1
# * size of the total moment: 0.00 μB/f.u.
# * formation energy (no corrections): -1.867 eV/atom
# * energy: -3.8688 eV/atom

# Pm15Er4Tm GGA-PBE optimized geometry
data_Pm15Er4Tm
_chemical_formula_sum 'Pm15 Er4 Tm1'
_symmetry_space_group_name_H-M 'P 4/m m m'
_symmetry_Int_Tables_number 123
_symmetry_space_group_name_Hall '-P 4 2'
_cell_length_a 5.1137
_cell_length_b 5.1137
_cell_length_c 25.4612
_cell_angle_alpha 90.00
_cell_angle_beta 90.00
_cell_angle_gamma 90.00
loop_
_atom_site_label
_atom_site_fract_x
_atom_site_fract_y
_atom_site_fract_z
_atom_site_occupancy
Pm1 0.0000 0.0000 0.0000 1
Pm2 0.0000 0.0000 0.2000 1
Pm3 0.0000 0.0000 0.4001 1
Pm4 0.0000 0.5000 0.0999 1
Pm5 0.0000 0.5000 0.3001 1
Pm6 0.0000 0.5000 0.5000 1
Er1 0.5000 0.5000 0.2000 1
Er2 0.5000 0.5000 0.4001 1
Tm1 0.5000 0.5000 0.0000 1
# * size of the total moment: 0.00 μB/f.u.
# * ΔE_f: 12 meV/atom
# * energy: -4.6868 eV/atom

# RbZnCl3 GGA-PBE optimized geometry
data_RbZnCl3
_chemical_formula_sum 'Rb6 Zn6 Cl18'
_symmetry_space_group_name_H-M 'R -3 c'
_symmetry_Int_Tables_number 167
_symmetry_space_group_name_Hall '-R 3 2"c'
_cell_length_a 7.5040
_cell_length_b 7.5040
_cell_length_c 24.2271
_cell_angle_alpha 90.00
_cell_angle_beta 90.00
_cell_angle_gamma 120.00
loop_
_atom_site_label
_atom_site_fract_x
_atom_site_fract_y
_atom_site_fract_z
_atom_site_occupancy
Rb1 0.0000 0.0000 0.0000 1
Zn1 0.0000 0.0000 0.2500 1
Cl1 0.0000 0.2936 0.2500 1
# * size of the total moment: 0.00 μB/f.u.
# * formation energy (no corrections): -1.466 eV/atom
# * energy: -3.0220 eV/atom

# Be2ZnTcH GGA-PBE optimized geometry
data_Be2ZnTcH
_chemical_formula_sum 'Be2 Zn1 Tc1 H1'
_symmetry_space_group_name_H-M 'P 4/m m m'
_symmetry_Int_Tables_number 123
_symmetry_space_group_name_Hall '-P 4 2'
_cell_length_a 4.2831
_cell_length_b 4.2831
_cell_length_c 4.9608
_cell_angle_alpha 90.00
_cell_angle_beta 90.00
_cell_angle_gamma 90.00
loop_
_atom_site_label
_atom_site_fract_x
_atom_site_fract_y
_atom_site_fract_z
_atom_site_occupancy
Be1 0.0000 0.5000 0.0000 1
Zn1 0.0000 0.0000 0.5000 1
Tc1 0.0000 0.0000 0.0000 1
H1 0.5000 0.5000 0.5000 1
# * size of the total moment: 1.73 μB/f.u.
# * energy: -2.9381 eV/atom

# ZrHgGeAu2 GGA-PBE optimized geometry
data_ZrHgGeAu2
_chemical_formula_sum 'Zr1 Hg1 Ge1 Au2'
_symmetry_space_group_name_H-M 'P 4/m m m'
_symmetry_Int_Tables_number 123
_symmetry_space_group_name_Hall '-P 4 2'
_cell_length_a 5.0752
_cell_length_b 5.0752
_cell_length_c 4.9996
_cell_angle_alpha 90.00
_cell_angle_beta 90.00
_cell_angle_gamma 90.00
loop_
_atom_site_label
_atom_site_fract_x
_atom_site_fract_y
_atom_site_fract_z
_atom_site_occupancy
Zr1 0.0000 0.0000 0.0000 1
Hg1 0.5000 0.5000 0.5000 1
Ge1 0.5000 0.5000 0.0000 1
Au1 0.0000 0.5000 0.5000 1
# * size of the total moment: 0.58 μB/f.u.
# * ΔE_f: 832 meV/atom
# * energy: -3.1719 eV/atom

# SmScSn6 GGA-PBE optimized geometry
data_SmScSn6
_chemical_formula_sum 'Sm1 Sc1 Sn6'
_symmetry_space_group_name_H-M 'P 4/m m m'
_symmetry_Int_Tables_number 123
_symmetry_space_group_name_Hall '-P 4 2'
_cell_length_a 4.7976
_cell_length_b 4.7976
_cell_length_c 8.9597
_cell_angle_alpha 90.00
_cell_angle_beta 90.00
_cell_angle_gamma 90.00
loop_
_atom_site_label
_atom_site_fract_x
_atom_site_fract_y
_atom_site_fract_z
_atom_site_occupancy
Sm1 0.0000 0.0000 0.0000 1
Sc1 0.0000 0.0000 0.5000 1
Sn1 0.0000 0.5000 0.2603 1
Sn2 0.5000 0.5000 0.0000 1
Sn3 0.5000 0.5000 0.5000 1
# * size of the total moment: 0.00 μB/f.u.
# * ΔE_f: -375 meV/atom
# * energy: -4.7585 eV/atom

# Li3Ho2GaCu12 GGA-PBE optimized geometry
data_Li3Ho2GaCu12
_chemical_formula_sum 'Li9 Ho6 Ga3 Cu36'
_symmetry_space_group_name_H-M 'R -3 m'
_symmetry_Int_Tables_number 166
_symmetry_space_group_name_Hall '-R 3 2"'
_cell_length_a 8.6476
_cell_length_b 8.6476
_cell_length_c 12.4485
_cell_angle_alpha 90.00
_cell_angle_beta 90.00
_cell_angle_gamma 120.00
loop_
_atom_site_label
_atom_site_fract_x
_atom_site_fract_y
_atom_site_fract_z
_atom_site_occupancy
Li1 0.0000 0.5000 0.0000 1
Ho1 0.0000 0.0000 0.2145 1
Ga1 0.0000 0.0000 0.5000 1
Cu1 0.0185 0.5092 0.2100 1
Cu2 0.0484 0.5242 0.5990 1
# * size of the total moment: 0.00 μB/f.u.
# * ΔE_f: -9 meV/atom
# * energy: -3.7353 eV/atom

# LaMnIn GGA-PBE optimized geometry
data_LaMnIn
_chemical_formula_sum 'La4 Mn4 In4'
_symmetry_space_group_name_H-M 'F -4 3 m'
_symmetry_Int_Tables_number 216
_symmetry_space_group_name_Hall 'F -4 2 3'
_cell_length_a 7.2651
_cell_length_b 7.2651
_cell_length_c 7.2651
_cell_angle_alpha 90.00
_cell_angle_beta 90.00
_cell_angle_gamma 90.00
loop_
_atom_site_label
_atom_site_fract_x
_atom_site_fract_y
_atom_site_fract_z
_atom_site_occupancy
La1 0.0000 0.0000 0.0000 1
Mn1 0.2500 0.2500 0.7500 1
In1 0.2500 0.2500 0.2500 1
# * size of the total moment: 4.27 μB/f.u.
# * ΔE_f: 595 meV/atom
# * energy: -5.0165 eV/atom